one:
Compound: KZn2Au2
Source: Alexandria via LeMat-Bulk
Functional: meta-GGA SCAN
Structure: PBEsol geometry

Geometry as CIF:
```
data_KZn2Au2
_chemical_formula_sum 'K2 Zn4 Au4'
_cell_length_a 4.396
_cell_length_b 4.396
_cell_length_c 11.030
_cell_angle_alpha 90.00
_cell_angle_beta 90.00
_cell_angle_gamma 90.00
_symmetry_space_group_name_H-M 'I 4/m m m'
_symmetry_Int_Tables_number 139
_symmetry_space_group_name_Hall '-I 4 2'
loop_
_atom_site_label
_atom_site_fract_x
_atom_site_fract_y
_atom_site_fract_z
K1 0.000 0.000 0.000
Zn1 0.000 0.500 0.250
Au1 0.000 0.000 0.376
```

Its density of states at the Fermi level is 3.4 states/eV/cell. As for the volume: 21.313 Å³ per atom.

***

two:
Compound: KZn2Au2
Source: Alexandria via LeMat-Bulk
Functional: meta-GGA SCAN
Structure: PBEsol geometry

Geometry as CIF:
```
data_KZn2Au2
_chemical_formula_sum 'K2 Zn4 Au4'
_cell_length_a 8.204
_cell_length_b 8.204
_cell_length_c 2.744
_cell_angle_alpha 90.00
_cell_angle_beta 90.00
_cell_angle_gamma 90.00
_symmetry_space_group_name_H-M 'P 4/m b m'
_symmetry_Int_Tables_number 127
_symmetry_space_group_name_Hall '-P 4 2ab'
loop_
_atom_site_label
_atom_site_fract_x
_atom_site_fract_y
_atom_site_fract_z
K1 0.000 0.000 0.000
Zn1 0.124 0.376 0.500
Au1 0.169 0.669 0.000
```

Its density of states at the Fermi level is 2.6 states/eV/cell. As for the volume: 18.473 Å³ per atom.

***

Quick one: most stable of them? one

***

one:
Compound: K2ZrAu
Source: Alexandria via LeMat-Bulk
Functional: meta-GGA SCAN
Structure: PBEsol geometry

Geometry as CIF:
```
data_K2ZrAu
_chemical_formula_sum 'K2 Zr1 Au1'
_cell_length_a 3.188
_cell_length_b 6.216
_cell_length_c 5.260
_cell_angle_alpha 90.00
_cell_angle_beta 92.30
_cell_angle_gamma 90.00
_symmetry_space_group_name_H-M 'P 1 2/m 1'
_symmetry_Int_Tables_number 10
loop_
_symmetry_equiv_pos_as_xyz
'x,y,z'
'-x,-y,-z'
'-x,y,-z'
'x,-y,z'
loop_
_atom_site_label
_atom_site_fract_x
_atom_site_fract_y
_atom_site_fract_z
K1 0.241 0.000 0.263
Zr1 0.500 0.500 0.000
Au1 0.000 0.500 0.500
```

Its density of states at the Fermi level is 1.6 states/eV/cell. As for the volume: 26.035 Å³ per atom.

***

two:
Compound: K2ZrAu
Source: Alexandria via LeMat-Bulk
Functional: meta-GGA SCAN
Structure: PBEsol geometry

Geometry as CIF:
```
data_K2ZrAu
_chemical_formula_sum 'K8 Zr4 Au4'
_cell_length_a 7.898
_cell_length_b 7.898
_cell_length_c 7.898
_cell_angle_alpha 90.00
_cell_angle_beta 90.00
_cell_angle_gamma 90.00
_symmetry_space_group_name_H-M 'F m -3 m'
_symmetry_Int_Tables_number 225
_symmetry_space_group_name_Hall '-F 4 2 3'
loop_
_atom_site_label
_atom_site_fract_x
_atom_site_fract_y
_atom_site_fract_z
K1 0.250 0.250 0.250
Zr1 0.000 0.000 0.000
Au1 0.000 0.000 0.500
```

Its density of states at the Fermi level is 11.7 states/eV/cell. As for the volume: 30.796 Å³ per atom.

***

three:
Compound: K2ZrAu
Source: Alexandria via LeMat-Bulk
Functional: meta-GGA SCAN
Structure: PBEsol geometry

Geometry as CIF:
```
data_K2ZrAu
_chemical_formula_sum 'K2 Zr1 Au1'
_cell_length_a 4.559
_cell_length_b 3.765
_cell_length_c 6.073
_cell_angle_alpha 90.00
_cell_angle_beta 90.09
_cell_angle_gamma 90.00
_symmetry_space_group_name_H-M 'P 1 2/m 1'
_symmetry_Int_Tables_number 10
loop_
_symmetry_equiv_pos_as_xyz
'x,y,z'
'-x,-y,-z'
'-x,y,-z'
'x,-y,z'
loop_
_atom_site_label
_atom_site_fract_x
_atom_site_fract_y
_atom_site_fract_z
K1 0.000 0.000 0.000
K2 0.500 0.500 0.000
Zr1 0.000 0.500 0.500
Au1 0.500 0.000 0.500
```

Its density of states at the Fermi level is 2.3 states/eV/cell. As for the volume: 26.059 Å³ per atom.

***

Quick one: most stable of them? three

***

one:
Compound: K2ZrAu
Source: Alexandria via LeMat-Bulk
Functional: meta-GGA SCAN
Structure: PBEsol geometry

Geometry as CIF:
```
data_K2ZrAu
_chemical_formula_sum 'K4 Zr2 Au2'
_cell_length_a 9.324
_cell_length_b 3.535
_cell_length_c 9.740
_cell_angle_alpha 90.00
_cell_angle_beta 104.33
_cell_angle_gamma 90.00
_symmetry_space_group_name_H-M 'C 1 m 1'
_symmetry_Int_Tables_number 8
loop_
_symmetry_equiv_pos_as_xyz
'x,y,z'
'x,-y,z'
'x+1/2,y+1/2,z'
'x+1/2,-y+1/2,z'
loop_
_atom_site_label
_atom_site_fract_x
_atom_site_fract_y
_atom_site_fract_z
K1 0.000 0.000 0.000
K2 0.154 0.000 0.594
Zr1 0.306 0.500 0.297
Au1 0.020 0.500 0.297
```

Its density of states at the Fermi level is 3.6 states/eV/cell. As for the volume: 38.877 Å³ per atom.

***

two:
Compound: K2ZrAu
Source: Alexandria via LeMat-Bulk
Functional: meta-GGA SCAN
Structure: PBEsol geometry

Geometry as CIF:
```
data_K2ZrAu
_chemical_formula_sum 'K4 Zr2 Au2'
_cell_length_a 3.117
_cell_length_b 6.276
_cell_length_c 13.593
_cell_angle_alpha 90.00
_cell_angle_beta 90.00
_cell_angle_gamma 90.00
_symmetry_space_group_name_H-M 'I m m 2'
_symmetry_Int_Tables_number 44
loop_
_symmetry_equiv_pos_as_xyz
'x,y,z'
'-x,-y,z'
'-x,y,z'
'x,-y,z'
'x+1/2,y+1/2,z+1/2'
'-x+1/2,-y+1/2,z+1/2'
'-x+1/2,y+1/2,z+1/2'
'x+1/2,-y+1/2,z+1/2'
loop_
_atom_site_label
_atom_site_fract_x
_atom_site_fract_y
_atom_site_fract_z
K1 0.000 0.000 0.000
K2 0.000 0.500 0.192
Zr1 0.000 0.000 0.377
Au1 0.000 0.500 0.715
```

Its density of states at the Fermi level is 5.4 states/eV/cell. As for the volume: 33.238 Å³ per atom.

***

Quick one: most stable of them? one